VASP calculation (PBE) on crystalline Ti2AgRu2 at its relaxed geometry.

```
5
Lattice="-2.1114 -0.7892 3.4013 3.4425 -1.1355 1.8734 1.4312 4.0686 4.2799" Properties=species:S:1:pos:R:3 pbc="T T T"
Ru 0.8459 0.2225 3.0242
Ru 1.9164 1.9215 6.5304
Ag 0.0000 0.0000 0.0000
Ti -0.0073 1.1586 5.1593
Ti 2.7696 0.9854 4.3954
```

Values from the calculation:
Calculated formation energy in eV per atom: 0.083
Mass density in g/cm3: 7.57
Size of the total moment in μB per formula unit: 0.000
Energy relative to the lowest polymorph listed for this composition in meV/atom: 325.5
N(E_F) in states/eV per cell: 4.2



VASP calculation (PBE) on crystalline Ti2AgRu at its relaxed geometry.

```
8
Lattice="7.0443 0.0000 0.0000 0.0000 7.0443 0.0000 3.5222 3.5222 2.7722" Properties=species:S:1:pos:R:3 pbc="T T T"
Ru 3.5222 3.5222 0.0000
Ru 3.5222 7.0443 1.3861
Ag 0.0000 0.0000 0.0000
Ag 7.0443 3.5222 1.3861
Ti 5.0710 1.7611 0.6930
Ti 1.9734 5.2833 0.6930
Ti 5.2833 5.4955 2.0791
Ti 8.8054 8.5931 2.0791
```

Values from the calculation:
Calculated formation energy in eV per atom: 0.165
Mass density in g/cm3: 7.36
Size of the total moment in μB per formula unit: 0.000
N(E_F) in states/eV per cell: 13.6



VASP calculation (PBE) on crystalline TiAg2Ru at its relaxed geometry.

```
4
Lattice="-1.4025 -3.9360 -1.7515 -3.8464 -0.1744 -2.3878 0.1425 -0.6651 -4.4793" Properties=species:S:1:pos:R:3 pbc="T T T"
Ru -2.5532 -2.3877 -4.3093
Ag -1.2766 -1.1939 -2.1547
Ag -3.8298 -3.5816 -6.4640
Ti 0.0000 0.0000 0.0000
```

Values from the calculation:
Calculated formation energy in eV per atom: 0.381
Mass density in g/cm3: 9.21
Size of the total moment in μB per formula unit: 0.000
Energy relative to the lowest polymorph listed for this composition in meV/atom: 54.7
N(E_F) in states/eV per cell: 6.0



VASP calculation (PBE) on crystalline Ti2AgRu at its relaxed geometry.

```
4
Lattice="-2.0898 0.8167 -2.0742 -1.1290 -2.8392 0.0196 -4.3474 1.7637 5.0745" Properties=species:S:1:pos:R:3 pbc="T T T"
Ru -1.6094 -1.0113 -1.0273
Ag -3.7831 -0.1294 1.5099
Ti -3.3860 1.3737 3.9523
Ti -0.9614 0.3901 1.1222
```

Values from the calculation:
Calculated formation energy in eV per atom: -0.290
Mass density in g/cm3: 7.84
Size of the total moment in μB per formula unit: 0.000
N(E_F) in states/eV per cell: 4.7



VASP calculation (PBE) on crystalline TiAg3Ru at its relaxed geometry.

```
5
Lattice="4.9231 0.0000 0.0000 0.0000 4.9231 0.0000 0.0000 0.0000 4.9231" Properties=species:S:1:pos:R:3 pbc="T T T"
Ru 0.0000 0.0000 0.0000
Ag 0.0000 2.4615 0.0000
Ag 0.0000 0.0000 2.4615
Ag 2.4615 0.0000 0.0000
Ti 2.4615 2.4615 2.4615
```

Values from the calculation:
Calculated formation energy in eV per atom: 1.519
Mass density in g/cm3: 6.58
Size of the total moment in μB per formula unit: 0.000
N(E_F) in states/eV per cell: 10.8



VASP calculation (PBE) on crystalline Ti2AgRu2 at its relaxed geometry.

```
10
Lattice="7.2593 0.0000 0.0000 0.0000 7.2593 0.0000 0.0000 0.0000 3.0261" Properties=species:S:1:pos:R:3 pbc="T T T"
Ru 2.6138 6.2435 0.0000
Ru 6.2435 4.6455 0.0000
Ru 4.6455 1.0158 0.0000
Ru 1.0158 2.6138 0.0000
Ag 0.0000 0.0000 0.0000
Ag 3.6297 3.6297 0.0000
Ti 1.1268 4.7564 1.5131
Ti 4.7564 6.1325 1.5131
Ti 6.1325 2.5029 1.5131
Ti 2.5029 1.1268 1.5131
```

Values from the calculation:
Calculated formation energy in eV per atom: -0.243
Mass density in g/cm3: 8.45
Size of the total moment in μB per formula unit: 0.000
Energy relative to the lowest polymorph listed for this composition in meV/atom: 0.0
N(E_F) in states/eV per cell: 8.2



VASP calculation (PBE) on crystalline TmTiAgRu at its relaxed geometry.

```
4
Lattice="4.6942 0.0000 0.0000 2.3471 4.0653 0.0000 2.3471 1.3551 3.8328" Properties=species:S:1:pos:R:3 pbc="T T T"
Ru 2.3471 1.3551 0.9582
Tm 4.6942 2.7102 1.9164
Ag 7.0413 4.0653 2.8746
Ti 0.0000 0.0000 0.0000
```

Values from the calculation:
Calculated formation energy in eV per atom: -0.215
Mass density in g/cm3: 9.67
Size of the total moment in μB per formula unit: 0.003
N(E_F) in states/eV per cell: 4.0



VASP calculation (PBE) on crystalline ZrTiAgRu at its relaxed geometry.

```
4
Lattice="4.6271 0.0000 0.0000 2.3135 4.0072 0.0000 2.3135 1.3357 3.7780" Properties=species:S:1:pos:R:3 pbc="T T T"
Ru 4.6271 2.6714 1.8890
Zr 6.9406 4.0072 2.8335
Ag 0.0000 0.0000 0.0000
Ti 2.3135 1.3357 0.9445
```

Values from the calculation:
Calculated formation energy in eV per atom: -0.192
Mass density in g/cm3: 8.25
Size of the total moment in μB per formula unit: 0.000
N(E_F) in states/eV per cell: 3.3



VASP calculation (PBE) on crystalline ZrTiAgRu2 at its relaxed geometry.

```
5
Lattice="-4.0928 2.4879 0.7517 -0.5833 -2.1325 3.8816 2.5207 3.4582 2.2787" Properties=species:S:1:pos:R:3 pbc="T T T"
Ru 1.2604 1.7291 1.1394
Ru -2.0464 1.2440 0.3759
Zr -1.0777 1.9068 3.4560
Ag 0.0000 0.0000 0.0000
Ti -0.2917 -1.0662 1.9408
```

Values from the calculation:
Calculated formation energy in eV per atom: 1.429
Mass density in g/cm3: 7.10
Size of the total moment in μB per formula unit: 0.001
N(E_F) in states/eV per cell: 7.2



VASP calculation (PBE) on crystalline TlAgRu2 at its relaxed geometry.

```
4
Lattice="5.0714 0.0308 0.0000 1.7873 4.7461 0.0000 -3.4294 -2.3885 2.8731" Properties=species:S:1:pos:R:3 pbc="T T T"
Ag 2.5357 0.0154 1.4366
Ru 0.0000 0.0000 0.0000
Ru 3.4294 2.3885 0.0000
Tl 0.8937 2.3731 1.4366
```

Values from the calculation:
Calculated formation energy in eV per atom: 0.688
Mass density in g/cm3: 12.38
Size of the total moment in μB per formula unit: 3.113
Energy relative to the lowest polymorph listed for this composition in meV/atom: 317.1
N(E_F) in states/eV per cell: 4.1



VASP calculation (PBE) on crystalline TlAgRu2 at its relaxed geometry.

```
4
Lattice="0.0000 3.2399 3.2399 3.2399 0.0000 3.2399 3.2399 3.2399 0.0000" Properties=species:S:1:pos:R:3 pbc="T T T"
Ru 1.6199 1.6199 1.6199
Ru 4.8598 4.8598 4.8598
Tl 3.2399 3.2399 3.2399
Ag 0.0000 0.0000 0.0000
```

Values from the calculation:
Calculated formation energy in eV per atom: 0.707
Mass density in g/cm3: 12.56
Size of the total moment in μB per formula unit: 2.366
Energy relative to the lowest polymorph listed for this composition in meV/atom: 335.9
N(E_F) in states/eV per cell: 2.4



VASP calculation (PBE) on crystalline TlAgRu2 at its relaxed geometry.

```
4
Lattice="-3.4382 2.7452 -1.9053 -1.8834 -1.0318 1.9120 1.1334 3.6777 3.2538" Properties=species:S:1:pos:R:3 pbc="T T T"
Ag -2.2816 3.3571 2.9217
Ru 1.0599 3.5662 3.2257
Ru -0.3015 1.4345 2.6111
Tl -1.9066 2.0341 0.3388
```

Values from the calculation:
Calculated formation energy in eV per atom: 0.700
Mass density in g/cm3: 12.30
Size of the total moment in μB per formula unit: 1.334
Energy relative to the lowest polymorph listed for this composition in meV/atom: 328.9
N(E_F) in states/eV per cell: 4.8



Which formula does entry 10 have?
TlAgRu2